Compound: Ac3Pt
Source: Alexandria via LeMat-Bulk
Functional: PBE
Structure: relaxed

Lattice parameters (Å, degrees): 8.083 8.083 8.083 90.00 90.00 90.00
Fractional positions:
Ac 0.000 0.000 0.000
Ac 0.000 0.500 0.500
Ac 0.250 0.250 0.250
Ac 0.250 0.250 0.750
Ac 0.250 0.750 0.250
Ac 0.250 0.750 0.750
Ac 0.500 0.000 0.500
Ac 0.500 0.500 0.000
Ac 0.750 0.250 0.250
Ac 0.750 0.250 0.750
Ac 0.750 0.750 0.250
Ac 0.750 0.750 0.750
Pt 0.000 0.000 0.500
Pt 0.000 0.500 0.000
Pt 0.500 0.000 0.000
Pt 0.500 0.500 0.500

Crystal system: cubic
Fermi-level density of states: 7.266 states/eV/f.u.
Excess energy over the best structure of this formula in the dataset: 2.191 eV/f.u.
DFT formation energy: -0.0072 eV per atom